[1]
Crystalline MgCd2Cu at its relaxed geometry, computed with GGA-PBEsol.

Geometry as POSCAR:
```
MgCd2Cu
1.0
3.174 0.000 0.000
0.000 3.301 0.000
0.000 0.000 6.752
Mg Cd Cu
1 2 1
direct
0.000 0.000 0.000
0.000 0.000 0.566
0.500 0.500 0.279
0.500 0.500 0.787
```

N(E_F): 1.147 states/eV/f.u.
Formation energy from the elements: -0.025 eV per atom
Energy: -2.14 eV per atom
Symmetry: Pmm2, No. 25



[2]
Crystalline Ca2LaPb at its relaxed geometry, computed with GGA-PBEsol.

Geometry as POSCAR:
```
Ca2LaPb
1.0
4.943 0.000 0.000
0.000 4.943 0.000
0.000 0.000 5.198
Ca La Pb
2 1 1
direct
0.000 0.500 0.000
0.500 0.000 0.000
0.000 0.000 0.500
0.500 0.500 0.500
```

N(E_F): 3.448 states/eV/f.u.
Formation energy from the elements: -0.349 eV per atom
Energy: -3.75 eV per atom
Symmetry: P4/mmm, No. 123



[3]
Crystalline AlTc2Os at its relaxed geometry, computed with GGA-PBEsol.

Geometry as POSCAR:
```
AlTc2Os
1.0
2.996 0.000 0.000
0.000 4.175 0.000
0.000 0.000 4.435
Al Tc Os
1 2 1
direct
0.000 0.000 0.000
0.000 0.500 0.500
0.500 0.000 0.500
0.500 0.500 0.000
```

N(E_F): 3.188 states/eV/f.u.
Formation energy from the elements: -0.049 eV per atom
Energy: -9.76 eV per atom
Symmetry: Pmmm, No. 47



[4]
Crystalline IrRuPt2 at its relaxed geometry, computed with GGA-PBEsol.

Geometry as POSCAR:
```
IrRuPt2
1.0
-1.920 1.920 3.871
1.920 -1.920 3.871
1.920 1.920 -3.871
Ir Ru Pt
1 1 2
direct
0.000 0.000 0.000
0.250 0.750 0.500
0.500 0.500 0.000
0.750 0.250 0.500
```

N(E_F): 3.602 states/eV/f.u.
Formation energy from the elements: 0.015 eV per atom
Energy: -8.47 eV per atom
Symmetry: I-4m2, No. 119
Polymorph energy (0 for the lowest one): 0.0557 eV per atom



[5]
Crystalline Cu2Pd3Se4 at its relaxed geometry, computed with GGA-PBEsol.

Geometry as POSCAR:
```
Cu2Pd3Se4
1.0
5.708 0.000 0.000
0.000 9.668 0.000
-2.698 0.000 5.506
Cu Pd Se
4 6 8
direct
0.107 0.193 0.469
0.107 0.307 0.969
0.893 0.693 0.031
0.893 0.807 0.531
0.244 0.629 0.506
0.244 0.871 0.006
0.500 0.000 0.500
0.500 0.500 0.000
0.756 0.129 0.994
0.756 0.371 0.494
0.029 0.556 0.765
0.029 0.944 0.265
0.498 0.686 0.280
0.498 0.814 0.780
0.502 0.186 0.220
0.502 0.314 0.720
0.971 0.056 0.735
0.971 0.444 0.235
```

Formation energy (no corrections): -6.06 kcal/mol of atoms
N(E_F): 2.910 states/eV/f.u.
Energy: -4.92 eV per atom
Symmetry: P2_1/c, No. 14



[6]
Crystalline InHg2 at its relaxed geometry, computed with GGA-PBEsol.

Geometry as POSCAR:
```
InHg2
1.0
6.431 0.000 0.000
0.000 4.612 0.000
0.000 0.000 9.651
In Hg
4 8
direct
0.137 0.250 0.092
0.363 0.750 0.592
0.637 0.250 0.408
0.863 0.750 0.908
0.112 0.250 0.755
0.134 0.250 0.422
0.366 0.750 0.922
0.388 0.750 0.255
0.612 0.250 0.745
0.634 0.250 0.078
0.866 0.750 0.578
0.888 0.750 0.245
```

N(E_F): 0.806 states/eV/f.u.
Formation energy from the elements: -0.023 eV per atom
Energy: -1.40 eV per atom
Symmetry: Pnma, No. 62



[7]
Crystalline Si2SeBr at its relaxed geometry, computed with GGA-PBEsol.

Geometry as POSCAR:
```
Si2SeBr
1.0
-1.797 3.006 3.943
1.797 -3.006 3.943
1.797 3.006 -3.943
Si Se Br
2 1 1
direct
0.230 0.230 0.000
0.770 0.770 0.000
0.000 0.500 0.500
0.500 0.000 0.500
```

Formation energy (no corrections): 8.16 kcal/mol of atoms
N(E_F): 1.195 states/eV/f.u.
Energy: -3.95 eV per atom
Symmetry: Immm, No. 71
Polymorph energy (0 for the lowest one): 0.0130 eV per atom



[8]
Crystalline SrCoAu3 at its relaxed geometry, computed with GGA-PBEsol.

Geometry as POSCAR:
```
SrCoAu3
1.0
4.800 0.000 0.000
0.000 4.800 0.000
0.000 0.000 4.800
Sr Co Au
1 1 3
direct
0.000 0.000 0.000
0.500 0.500 0.500
0.000 0.500 0.500
0.500 0.000 0.500
0.500 0.500 0.000
```

N(E_F): 5.544 states/eV/f.u.
Formation energy from the elements: -0.019 eV per atom
Energy: -4.29 eV per atom
Symmetry: Pm-3m, No. 221



[9]
Crystalline ZnHgW2 at its relaxed geometry, computed with GGA-PBEsol.

Geometry as POSCAR:
```
ZnHgW2
1.0
2.717 0.000 0.000
0.000 4.192 0.000
0.000 0.000 5.759
Zn Hg W
1 1 2
direct
0.000 0.000 0.000
0.500 0.500 0.244
0.000 0.000 0.535
0.500 0.500 0.747
```

N(E_F): 2.195 states/eV/f.u.
Formation energy from the elements: 0.536 eV per atom
Energy: -6.90 eV per atom
Symmetry: Pmm2, No. 25
Polymorph energy (0 for the lowest one): 0.0000 eV per atom



[10]
Crystalline KSr2Sb at its relaxed geometry, computed with GGA-PBEsol.

Geometry as POSCAR:
```
KSr2Sb
1.0
-2.729 2.729 4.923
2.729 -2.729 4.923
2.729 2.729 -4.923
K Sr Sb
1 2 1
direct
0.000 0.000 0.000
0.250 0.750 0.500
0.750 0.250 0.500
0.500 0.500 0.000
```

Formation energy (no corrections): -7.14 kcal/mol of atoms
N(E_F): 4.241 states/eV/f.u.
Energy: -2.65 eV per atom
Symmetry: I4/mmm, No. 139



[11]
Crystalline Ni2Pt at its relaxed geometry, computed with GGA-PBEsol.

Geometry as POSCAR:
```
Ni2Pt
1.0
4.039 0.000 0.000
-2.020 3.498 0.000
0.000 0.000 2.579
Ni Pt
2 1
direct
0.333 0.667 0.000
0.667 0.333 0.000
0.000 0.000 0.500
```

N(E_F): 4.395 states/eV/f.u.
Formation energy from the elements: 0.024 eV per atom
Energy: -6.40 eV per atom
Symmetry: P6/mmm, No. 191



[12]
Crystalline NbSb2PdI at its relaxed geometry, computed with GGA-PBEsol.

Geometry as POSCAR:
```
NbSb2PdI
1.0
5.074 0.000 0.000
0.000 5.074 0.000
0.000 0.000 5.285
Nb Sb Pd I
1 2 1 1
direct
0.000 0.000 0.000
0.000 0.500 0.500
0.500 0.000 0.500
0.500 0.500 0.500
0.500 0.500 0.000
```

Formation energy (no corrections): 20.10 kcal/mol of atoms
N(E_F): 4.982 states/eV/f.u.
Energy: -4.66 eV per atom
Symmetry: P4/mmm, No. 123
Polymorph energy (0 for the lowest one): 0.1210 eV per atom



[13]
Crystalline ZrCr2Cd at its relaxed geometry, computed with GGA-PBEsol.

Geometry as POSCAR:
```
ZrCr2Cd
1.0
-1.691 2.218 4.207
1.691 -2.218 4.207
1.691 2.218 -4.207
Zr Cr Cd
1 2 1
direct
0.000 0.000 0.000
0.243 0.743 0.500
0.757 0.257 0.500
0.500 0.500 0.000
```

N(E_F): 5.002 states/eV/f.u.
Formation energy from the elements: 0.606 eV per atom
Energy: -7.09 eV per atom
Symmetry: Immm, No. 71



[14]
Crystalline CdRu2W at its relaxed geometry, computed with GGA-PBEsol.

Geometry as POSCAR:
```
CdRu2W
1.0
3.073 0.000 0.000
0.000 3.073 0.000
0.000 0.000 6.537
Cd Ru W
1 2 1
direct
0.000 0.000 0.000
0.500 0.500 0.278
0.500 0.500 0.722
0.000 0.000 0.500
```

N(E_F): 1.804 states/eV/f.u.
Formation energy from the elements: 0.129 eV per atom
Energy: -8.71 eV per atom
Symmetry: P4/mmm, No. 123



[15]
Crystalline Ca2Cu at its relaxed geometry, computed with GGA-PBEsol.

Geometry as POSCAR:
```
Ca2Cu
1.0
0.000 3.518 3.518
3.518 0.000 3.518
3.518 3.518 0.000
Ca Cu
2 1
direct
0.250 0.250 0.250
0.750 0.750 0.750
0.000 0.000 0.000
```

N(E_F): 2.248 states/eV/f.u.
Formation energy from the elements: 0.066 eV per atom
Energy: -2.80 eV per atom
Symmetry: Fm-3m, No. 225



[16]
Crystalline SrIn2Os at its relaxed geometry, computed with GGA-PBEsol.

Geometry as POSCAR:
```
SrIn2Os
1.0
0.000 3.509 3.509
3.509 0.000 3.509
3.509 3.509 0.000
Sr In Os
1 2 1
direct
0.000 0.000 0.000
0.250 0.250 0.250
0.500 0.500 0.500
0.750 0.750 0.750
```

N(E_F): 3.616 states/eV/f.u.
Formation energy from the elements: 0.509 eV per atom
Energy: -4.50 eV per atom
Symmetry: F-43m, No. 216



[17]
Crystalline GeSeN3 at its relaxed geometry, computed with GGA-PBEsol.

Geometry as POSCAR:
```
GeSeN3
1.0
3.791 0.000 0.000
0.000 3.791 0.000
0.000 0.000 3.791
Ge Se N
1 1 3
direct
0.000 0.000 0.000
0.500 0.500 0.500
0.000 0.000 0.500
0.000 0.500 0.000
0.500 0.000 0.000
```

Formation energy (no corrections): 34.91 kcal/mol of atoms
N(E_F): 3.262 states/eV/f.u.
Energy: -5.36 eV per atom
Symmetry: Pm-3m, No. 221



[18]
Crystalline SrGe4O9 at its relaxed geometry, computed with GGA-PBEsol.

Geometry as POSCAR:
```
SrGe4O9
1.0
11.330 0.000 0.000
-5.665 9.812 0.000
0.000 0.000 4.790
Sr Ge O
3 12 27
direct
0.000 0.673 0.000
0.327 0.327 0.000
0.673 0.000 0.000
0.000 0.000 0.000
0.000 0.179 0.500
0.151 0.492 0.399
0.179 0.000 0.500
0.333 0.667 0.892
0.341 0.849 0.399
0.492 0.151 0.601
0.508 0.659 0.399
0.659 0.508 0.601
0.667 0.333 0.108
0.821 0.821 0.500
0.849 0.341 0.601
0.000 0.491 0.500
0.059 0.904 0.762
0.096 0.155 0.762
0.110 0.325 0.290
0.155 0.096 0.238
0.179 0.605 0.122
0.215 0.890 0.290
0.248 0.738 0.671
0.262 0.509 0.671
0.325 0.110 0.710
0.395 0.574 0.122
0.426 0.821 0.122
0.491 0.000 0.500
0.491 0.752 0.671
0.509 0.262 0.329
0.509 0.509 0.500
0.574 0.395 0.878
0.605 0.179 0.878
0.675 0.785 0.290
0.738 0.248 0.329
0.752 0.491 0.329
0.785 0.675 0.710
0.821 0.426 0.878
0.845 0.941 0.762
0.890 0.215 0.710
0.904 0.059 0.238
0.941 0.845 0.238
```

Formation energy (no corrections): -44.75 kcal/mol of atoms
N(E_F): 0.000 states/eV/f.u.
Energy: -6.86 eV per atom
Symmetry: P321, No. 150



[19]
Crystalline RbBa3Rh at its relaxed geometry, computed with GGA-PBEsol.

Geometry as POSCAR:
```
RbBa3Rh
1.0
6.196 0.000 0.000
0.000 6.196 0.000
0.000 0.000 6.196
Rb Ba Rh
1 3 1
direct
0.000 0.000 0.000
0.000 0.500 0.500
0.500 0.000 0.500
0.500 0.500 0.000
0.500 0.500 0.500
```

N(E_F): 6.119 states/eV/f.u.
Formation energy from the elements: -0.011 eV per atom
Energy: -3.13 eV per atom
Symmetry: Pm-3m, No. 221



[20]
Crystalline CaCd2Ag at its relaxed geometry, computed with GGA-PBEsol.

Geometry as POSCAR:
```
CaCd2Ag
1.0
3.486 0.000 0.000
0.000 3.486 0.000
0.000 0.000 7.235
Ca Cd Ag
1 2 1
direct
0.000 0.000 0.000
0.500 0.500 0.289
0.500 0.500 0.711
0.000 0.000 0.500
```

N(E_F): 1.497 states/eV/f.u.
Formation energy from the elements: -0.217 eV per atom
Energy: -2.18 eV per atom
Symmetry: P4/mmm, No. 123